i:
First-principles (PBE) data for a relaxed structure of Ca2TeO5, as listed in Alexandria via LeMat-Bulk.

abc: 4.077 11.515 10.637
angles: 90.00 90.00 90.00
Space group Cmcm (No. 63)
One atom of each set of equivalent atoms:
Ca: 0.000 0.141 0.073 x8
Te: 0.000 0.166 0.750 x4
O: 0.000 0.050 0.623 x8
O: 0.000 0.280 0.614 x8
O: 0.000 0.298 0.250 x4

Total moment, μB/f.u.: 0.0


ii:
First-principles (PBE) data for a relaxed structure of Ca2TeO5, as listed in Alexandria via LeMat-Bulk.

abc: 11.193 5.484 7.600
angles: 90.00 109.73 90.00
Space group C2/c (No. 15)
One atom of each set of equivalent atoms:
Ca: 0.173 0.026 0.335 x8
Te: 0.000 0.500 0.000 x4
O: 0.000 0.371 0.250 x4
O: 0.131 0.266 0.028 x8
O: 0.135 0.261 0.601 x8

Total moment, μB/f.u.: 0.0


iii:
First-principles (PBE) data for a relaxed structure of Ca2TeO5, as listed in Alexandria via LeMat-Bulk.

abc: 16.875 4.843 5.821
angles: 90.00 90.00 90.00
Space group Ima2 (No. 46)
One atom of each set of equivalent atoms:
Ca: 0.158 0.097 0.000 x8
Te: 0.000 0.000 0.490 x4
O: 0.044 0.248 0.741 x8
O: 0.103 0.639 0.987 x8
O: 0.250 0.246 0.749 x4

Total moment, μB/f.u.: 0.0


Stability ranking, top entry: ii; the second entry is 0.045 eV/atom less favorable.


i:
First-principles (PBE) data for a relaxed structure of Ca2Te2O7, as listed in Alexandria via LeMat-Bulk.

abc: 5.774 5.971 5.972
angles: 107.69 94.22 94.11
Space group P-1 (No. 2)
One atom of each set of equivalent atoms:
Ca: 0.000 0.196 0.304 x2
Te: 0.383 0.762 0.262 x2
O: 0.188 0.565 0.381 x2
O: 0.188 0.881 0.066 x2
O: 0.285 0.036 0.536 x2
O: 0.500 0.500 0.000 x1

Total moment, μB/f.u.: 0.0


ii:
First-principles (PBE) data for a relaxed structure of Ca2Te2O7, as listed in Alexandria via LeMat-Bulk.

abc: 7.270 9.187 5.491
angles: 90.00 91.66 90.00
Space group Cm (No. 8)
One atom of each set of equivalent atoms:
Ca: 0.000 0.203 0.000 x4
Te: 0.198 0.500 0.403 x2
Te: 0.216 0.000 0.578 x2
O: 0.066 0.000 0.290 x2
O: 0.223 0.345 0.184 x4
O: 0.292 0.173 0.734 x4
O: 0.425 0.000 0.348 x2
O: 0.494 0.500 0.759 x2

Total moment, μB/f.u.: 0.0


Stability ranking, top entry: ii; the second entry is 0.077 eV/atom less favorable.


i:
First-principles (PBE) data for a relaxed structure of CaTe3O, as listed in Alexandria via LeMat-Bulk.

abc: 4.928 4.928 4.928
angles: 90.00 90.00 90.00
Space group Pm-3m (No. 221)
One atom of each set of equivalent atoms:
Ca: 0.000 0.000 0.000 x1
Te: 0.000 0.500 0.500 x3
O: 0.500 0.500 0.500 x1

Total moment, μB/f.u.: 0.0


ii:
First-principles (PBE) data for a relaxed structure of CaTe3O, as listed in Alexandria via LeMat-Bulk.

abc: 5.774 5.774 5.774
angles: 90.00 90.00 90.00
Space group Pm-3m (No. 221)
One atom of each set of equivalent atoms:
Ca: 0.000 0.000 0.000 x1
Te: 0.000 0.000 0.500 x3
O: 0.500 0.500 0.500 x1

Total moment, μB/f.u.: 1.8


Stability ranking, top entry: i; the second entry is 1.180 eV/atom less favorable.


i:
First-principles (PBE) data for a relaxed structure of CaTi3O, as listed in Alexandria via LeMat-Bulk.

abc: 4.639 4.639 4.639
angles: 90.00 90.00 90.00
Space group Pm-3m (No. 221)
One atom of each set of equivalent atoms:
Ca: 0.000 0.000 0.000 x1
Ti: 0.000 0.000 0.500 x3
O: 0.500 0.500 0.500 x1

Total moment, μB/f.u.: 1.7


ii:
First-principles (PBE) data for a relaxed structure of CaTi3O, as listed in Alexandria via LeMat-Bulk.

abc: 4.348 4.348 4.348
angles: 90.00 90.00 90.00
Space group Pm-3m (No. 221)
One atom of each set of equivalent atoms:
Ca: 0.000 0.000 0.000 x1
Ti: 0.000 0.500 0.500 x3
O: 0.500 0.500 0.500 x1

Total moment, μB/f.u.: 0.0


Stability ranking, top entry: ii; the second entry is 2.752 eV/atom less favorable.